An optimized crystal structure of NiP2IO. Source: Alexandria, functional GGA+U.

Values from the calculation:
VASP energy: -16.86 eV for the cell shown
Relative energy among the computed polymorphs: 0 meV/atom

Cell lengths 4.704, 4.704, 3.679 Å; angles 90.00, 90.00, 90.00 degrees
Space group P4/mmm (No. 123)
Inequivalent atoms, fractional coordinates:
Ni 0.000 0.000 0.000 (multiplicity 1)
P 0.000 0.500 0.000 (multiplicity 2)
I 0.500 0.500 0.500 (multiplicity 1)
O 0.000 0.000 0.500 (multiplicity 1)